The following is a DFT calculation (meta-GGA SCAN) of a PBEsol-optimized structure of ZrCoF6.

The calculation puts the formation energy without anion corrections at -3.2251 eV/atom.

The space group is Fm-3m (No. 225) and the conventional cell measures 8.014, 8.014 and 8.014 Å, with angles of 90.00, 90.00 and 90.00 degrees. The asymmetric unit holds Zr at (0.000, 0.000, 0.000), Co at (0.000, 0.000, 0.500) and F at (0.000, 0.000, 0.251).

***

The following is a DFT calculation (meta-GGA SCAN) of a PBEsol-optimized structure of LaCoCu2.

Its energy of formation is 0.240 eV/atom.

The space group is I4/mmm (No. 139) and the conventional cell measures 3.733, 3.733 and 8.836 Å, with angles of 90.00, 90.00 and 90.00 degrees. The asymmetric unit holds La at (0.000, 0.000, 0.000), Co at (0.000, 0.000, 0.500) and Cu at (0.000, 0.500, 0.250).

***

The following is a DFT calculation (meta-GGA SCAN) of a PBEsol-optimized structure of BaCa2Pt2.

Its energy of formation is -0.865 eV/atom.

The space group is I4/mmm (No. 139) and the conventional cell measures 4.649, 4.649 and 12.456 Å, with angles of 90.00, 90.00 and 90.00 degrees. The asymmetric unit holds Ba at (0.000, 0.000, 0.000), Ca at (0.000, 0.500, 0.250) and Pt at (0.000, 0.000, 0.394).

***

The following is a DFT calculation (meta-GGA SCAN) of a PBEsol-optimized structure of NdMgGa.

Its energy of formation is -0.567 eV/atom.

The space group is P-62m (No. 189) and the conventional cell measures 7.3816, 7.3816 and 4.4777 Å, with angles of 90.00, 90.00 and 120.00 degrees. The asymmetric unit holds Nd at (0.0000, 0.5772, 0.0000), Mg at (0.0000, 0.2431, 0.5000), Ga at (0.0000, 0.0000, 0.0000) and Ga at (0.3333, 0.6667, 0.5000).

***

Asked for electronic total energy across the records above, the calculation gives -11.881 -22.462 -40.717 -22.201 eV/atom in order.